Entry 1:
Compound: Co12Ni17
Source: Alexandria
Functional: PBE
Structure: optimized geometry

Calculated values
E_form in kcal/mol of atoms: 1.25
Magnetic moment in μB/f.u.: 30.97
Crystal system: cubic

```
data_Co12Ni17
_chemical_formula_sum 'Co24 Ni34'
_cell_length_a 8.6337
_cell_length_b 8.6337
_cell_length_c 8.6337
_cell_angle_alpha 90.00
_cell_angle_beta 90.00
_cell_angle_gamma 90.00
_space_group_name_H-M_alt 'I -4 3 m'
_space_group_IT_number 217
_space_group_name_Hall 'I -4 2 3'
loop_
_atom_site_label
_atom_site_fract_x
_atom_site_fract_y
_atom_site_fract_z
Co1 0.0915 0.0915 0.2809
Ni1 0.0000 0.0000 0.0000
Ni2 0.0408 0.3584 0.3584
Ni3 0.1757 0.1757 0.8243
```

=====

Entry 2:
Compound: ThPaPdAu
Source: Alexandria
Functional: PBE
Structure: optimized geometry

Calculated values
E_form in kcal/mol of atoms: -9.03
Magnetic moment in μB/f.u.: 0.55
Crystal system: cubic

```
data_ThPaPdAu
_chemical_formula_sum 'Th4 Pa4 Pd4 Au4'
_cell_length_a 7.2266
_cell_length_b 7.2266
_cell_length_c 7.2266
_cell_angle_alpha 90.00
_cell_angle_beta 90.00
_cell_angle_gamma 90.00
_space_group_name_H-M_alt 'F -4 3 m'
_space_group_IT_number 216
_space_group_name_Hall 'F -4 2 3'
loop_
_atom_site_label
_atom_site_fract_x
_atom_site_fract_y
_atom_site_fract_z
Th1 0.0000 0.0000 0.0000
Pa1 0.0000 0.0000 0.5000
Pd1 0.2500 0.2500 0.2500
Au1 0.2500 0.2500 0.7500
```

=====

Entry 3:
Compound: CrPb2S
Source: Alexandria
Functional: PBE
Structure: optimized geometry

Calculated values
Magnetic moment in μB/f.u.: 4.61
Raw formation energy in eV per atom: 0.406
Crystal system: tetragonal

```
data_CrPb2S
_chemical_formula_sum 'Cr4 Pb8 S4'
_cell_length_a 8.0795
_cell_length_b 8.0795
_cell_length_c 6.3024
_cell_angle_alpha 90.00
_cell_angle_beta 90.00
_cell_angle_gamma 90.00
_space_group_name_H-M_alt 'I -4 2 d'
_space_group_IT_number 122
_space_group_name_Hall 'I -4 2bw'
loop_
_atom_site_label
_atom_site_fract_x
_atom_site_fract_y
_atom_site_fract_z
Cr1 0.0000 0.0000 0.0000
Pb1 0.2398 0.7500 0.6250
S1 0.0000 0.0000 0.5000
```